# Ba2Hg2Pt

A geometry-optimized Ba2Hg2Pt structure (GGA-PBE, the Alexandria database).

## Properties
ΔH_f (0 K) = -0.29 eV per atom
distance to the lowest polymorph of the same formula = 7.082 kcal/mol of atoms
SG = P4/mbm, No. 127
VASP energy = -23.865 eV/cell
DOS(E_F) = 0.5063 states/eV per atom

The structure in POSCAR format:
```
Ba2Hg2Pt
1.0
-1.1755 -7.5522 3.7062
-3.3069 -3.0261 -7.2153
4.8072 -1.5172 -1.5669
Ba Hg Pt
4 4 2
direct
0.1802 0.3198 0.0000
0.6802 0.1802 0.0000
0.3198 0.8198 0.0000
0.8198 0.6802 0.0000
0.8706 0.3706 0.5000
0.1294 0.6294 0.5000
0.6294 0.8706 0.5000
0.3706 0.1294 0.5000
0.0000 0.0000 0.0000
0.5000 0.5000 0.0000
```